Model w:
# CoAgSeO (GGA+U, relaxed)
# - crystal system = orthorhombic
data_CoAgSeO
_chemical_formula_sum 'Co4 Ag4 Se4 O4'
_cell_length_a 6.353
_cell_length_b 3.180
_cell_length_c 12.747
_cell_angle_alpha 90.00
_cell_angle_beta 90.00
_cell_angle_gamma 90.00
_symmetry_space_group_name_H-M 'P n m a'
_symmetry_Int_Tables_number 62
loop_
_symmetry_equiv_pos_as_xyz
'x,y,z'
'-x,-y,-z'
'-x+1/2,-y,z+1/2'
'x+1/2,y,-z+1/2'
'x+1/2,-y+1/2,-z+1/2'
'-x+1/2,y+1/2,z+1/2'
'-x,y+1/2,-z'
'x,-y+1/2,z'
loop_
_atom_site_label
_atom_site_fract_x
_atom_site_fract_y
_atom_site_fract_z
Co1 0.224 0.250 0.056
Ag1 0.079 0.750 0.259
Se1 0.171 0.750 0.904
O1 0.183 0.250 0.631

Model x:
# CoAgSeO (GGA+U, relaxed)
# - crystal system = orthorhombic
data_CoAgSeO
_chemical_formula_sum 'Co4 Ag4 Se4 O4'
_cell_length_a 5.392
_cell_length_b 9.267
_cell_length_c 5.392
_cell_angle_alpha 90.00
_cell_angle_beta 90.00
_cell_angle_gamma 90.00
_symmetry_space_group_name_H-M 'P c a 21'
_symmetry_Int_Tables_number 29
loop_
_symmetry_equiv_pos_as_xyz
'x,y,z'
'-x,-y,z+1/2'
'-x+1/2,y,z+1/2'
'x+1/2,-y,z'
loop_
_atom_site_label
_atom_site_fract_x
_atom_site_fract_y
_atom_site_fract_z
Co1 0.011 0.058 0.000
Ag1 0.001 0.356 0.448
Se1 0.001 0.673 0.448
O1 0.246 0.994 0.747

Model y:
# CoAgSeO (GGA+U, relaxed)
# - crystal system = hexagonal
data_CoAgSeO
_chemical_formula_sum 'Co2 Ag2 Se2 O2'
_cell_length_a 3.2371
_cell_length_b 3.2371
_cell_length_c 13.8425
_cell_angle_alpha 90.00
_cell_angle_beta 90.00
_cell_angle_gamma 120.00
_symmetry_space_group_name_H-M 'P 63 m c'
_symmetry_Int_Tables_number 186
_symmetry_space_group_name_Hall 'P 6c -2c'
loop_
_atom_site_label
_atom_site_fract_x
_atom_site_fract_y
_atom_site_fract_z
Co1 0.3333 0.6667 0.0000
Ag1 0.0000 0.0000 0.2073
Se1 0.3333 0.6667 0.3544
O1 0.0000 0.0000 0.0495

Model z:
# CoAgSeO (GGA+U, relaxed)
# - crystal system = hexagonal
data_CoAgSeO
_chemical_formula_sum 'Co2 Ag2 Se2 O2'
_cell_length_a 3.7194
_cell_length_b 3.7194
_cell_length_c 11.3680
_cell_angle_alpha 90.00
_cell_angle_beta 90.00
_cell_angle_gamma 120.00
_symmetry_space_group_name_H-M 'P 63 m c'
_symmetry_Int_Tables_number 186
_symmetry_space_group_name_Hall 'P 6c -2c'
loop_
_atom_site_label
_atom_site_fract_x
_atom_site_fract_y
_atom_site_fract_z
Co1 0.0000 0.0000 0.0000
Ag1 0.3333 0.6667 0.2617
Se1 0.3333 0.6667 0.6002
O1 0.0000 0.0000 0.3431

model x ends up most stable, edging out the next structure by 8.7 kJ/mol of atoms.

Model w:
# CoAgSeO (GGA+U, relaxed)
# - crystal system = tetragonal
data_CoAgSeO
_chemical_formula_sum 'Co2 Ag2 Se2 O2'
_cell_length_a 3.972
_cell_length_b 3.972
_cell_length_c 9.344
_cell_angle_alpha 90.00
_cell_angle_beta 90.00
_cell_angle_gamma 90.00
_symmetry_space_group_name_H-M 'P 4/n m m'
_symmetry_Int_Tables_number 129
loop_
_symmetry_equiv_pos_as_xyz
'x,y,z'
'-x,-y,-z'
'-y+1/2,x,z'
'y+1/2,-x,-z'
'-x+1/2,-y+1/2,z'
'x+1/2,y+1/2,-z'
'y,-x+1/2,z'
'-y,x+1/2,-z'
'x+1/2,-y,-z'
'-x+1/2,y,z'
'-y,-x,-z'
'y,x,z'
'-x,y+1/2,-z'
'x,-y+1/2,z'
'y+1/2,x+1/2,-z'
'-y+1/2,-x+1/2,z'
loop_
_atom_site_label
_atom_site_fract_x
_atom_site_fract_y
_atom_site_fract_z
Co1 0.250 0.250 0.047
Ag1 0.250 0.750 0.500
Se1 0.250 0.250 0.311
O1 0.250 0.750 0.000

Model x:
# CoAgSeO (GGA+U, relaxed)
# - crystal system = orthorhombic
data_CoAgSeO
_chemical_formula_sum 'Co4 Ag4 Se4 O4'
_cell_length_a 5.772
_cell_length_b 6.315
_cell_length_c 7.515
_cell_angle_alpha 90.00
_cell_angle_beta 90.00
_cell_angle_gamma 90.00
_symmetry_space_group_name_H-M 'P 21 21 21'
_symmetry_Int_Tables_number 19
loop_
_symmetry_equiv_pos_as_xyz
'x,y,z'
'-x+1/2,-y,z+1/2'
'x+1/2,-y+1/2,-z'
'-x,y+1/2,-z+1/2'
loop_
_atom_site_label
_atom_site_fract_x
_atom_site_fract_y
_atom_site_fract_z
Co1 0.056 0.146 0.108
Ag1 0.043 0.520 0.793
Se1 0.128 0.757 0.116
O1 0.135 0.745 0.581

Model y:
# CoAgSeO (GGA+U, relaxed)
# - crystal system = tetragonal
data_CoAgSeO
_chemical_formula_sum 'Co2 Ag2 Se2 O2'
_cell_length_a 3.501
_cell_length_b 3.501
_cell_length_c 10.083
_cell_angle_alpha 90.00
_cell_angle_beta 90.00
_cell_angle_gamma 90.00
_symmetry_space_group_name_H-M 'P 4/n m m'
_symmetry_Int_Tables_number 129
loop_
_symmetry_equiv_pos_as_xyz
'x,y,z'
'-x,-y,-z'
'-y+1/2,x,z'
'y+1/2,-x,-z'
'-x+1/2,-y+1/2,z'
'x+1/2,y+1/2,-z'
'y,-x+1/2,z'
'-y,x+1/2,-z'
'x+1/2,-y,-z'
'-x+1/2,y,z'
'-y,-x,-z'
'y,x,z'
'-x,y+1/2,-z'
'x,-y+1/2,z'
'y+1/2,x+1/2,-z'
'-y+1/2,-x+1/2,z'
loop_
_atom_site_label
_atom_site_fract_x
_atom_site_fract_y
_atom_site_fract_z
Co1 0.250 0.750 0.000
Ag1 0.250 0.250 0.418
Se1 0.250 0.250 0.860
O1 0.250 0.250 0.682

Model z:
# CoAgSeO (GGA+U, relaxed)
# - crystal system = tetragonal
data_CoAgSeO
_chemical_formula_sum 'Co2 Ag2 Se2 O2'
_cell_length_a 3.955
_cell_length_b 3.955
_cell_length_c 8.031
_cell_angle_alpha 90.00
_cell_angle_beta 90.00
_cell_angle_gamma 90.00
_symmetry_space_group_name_H-M 'P 4/n m m'
_symmetry_Int_Tables_number 129
loop_
_symmetry_equiv_pos_as_xyz
'x,y,z'
'-x,-y,-z'
'-y+1/2,x,z'
'y+1/2,-x,-z'
'-x+1/2,-y+1/2,z'
'x+1/2,y+1/2,-z'
'y,-x+1/2,z'
'-y,x+1/2,-z'
'x+1/2,-y,-z'
'-x+1/2,y,z'
'-y,-x,-z'
'y,x,z'
'-x,y+1/2,-z'
'x,-y+1/2,z'
'y+1/2,x+1/2,-z'
'-y+1/2,-x+1/2,z'
loop_
_atom_site_label
_atom_site_fract_x
_atom_site_fract_y
_atom_site_fract_z
Co1 0.250 0.250 0.247
Ag1 0.250 0.750 0.000
Se1 0.250 0.250 0.695
O1 0.250 0.250 0.481

model w ends up most stable, edging out the next structure by 7.7 kJ/mol of atoms.

Model w:
# CoAgSeO (GGA+U, relaxed)
# - crystal system = tetragonal
data_CoAgSeO
_chemical_formula_sum 'Co2 Ag2 Se2 O2'
_cell_length_a 4.237
_cell_length_b 4.237
_cell_length_c 7.823
_cell_angle_alpha 90.00
_cell_angle_beta 90.00
_cell_angle_gamma 90.00
_symmetry_space_group_name_H-M 'P 4/n m m'
_symmetry_Int_Tables_number 129
loop_
_symmetry_equiv_pos_as_xyz
'x,y,z'
'-x,-y,-z'
'-y+1/2,x,z'
'y+1/2,-x,-z'
'-x+1/2,-y+1/2,z'
'x+1/2,y+1/2,-z'
'y,-x+1/2,z'
'-y,x+1/2,-z'
'x+1/2,-y,-z'
'-x+1/2,y,z'
'-y,-x,-z'
'y,x,z'
'-x,y+1/2,-z'
'x,-y+1/2,z'
'y+1/2,x+1/2,-z'
'-y+1/2,-x+1/2,z'
loop_
_atom_site_label
_atom_site_fract_x
_atom_site_fract_y
_atom_site_fract_z
Co1 0.250 0.250 0.169
Ag1 0.250 0.250 0.665
Se1 0.250 0.750 0.000
O1 0.250 0.250 0.388

Model x:
# CoAgSeO (GGA+U, relaxed)
# - crystal system = orthorhombic
data_CoAgSeO
_chemical_formula_sum 'Co4 Ag4 Se4 O4'
_cell_length_a 3.011
_cell_length_b 14.276
_cell_length_c 6.198
_cell_angle_alpha 90.00
_cell_angle_beta 90.00
_cell_angle_gamma 90.00
_symmetry_space_group_name_H-M 'C m c 21'
_symmetry_Int_Tables_number 36
loop_
_symmetry_equiv_pos_as_xyz
'x,y,z'
'-x,-y,z+1/2'
'-x,y,z'
'x,-y,z+1/2'
'x+1/2,y+1/2,z'
'-x+1/2,-y+1/2,z+1/2'
'-x+1/2,y+1/2,z'
'x+1/2,-y+1/2,z+1/2'
loop_
_atom_site_label
_atom_site_fract_x
_atom_site_fract_y
_atom_site_fract_z
Co1 0.000 0.176 0.000
Ag1 0.000 0.464 0.096
Se1 0.000 0.183 0.408
O1 0.000 0.401 0.426

Model y:
# CoAgSeO (GGA+U, relaxed)
# - crystal system = orthorhombic
data_CoAgSeO
_chemical_formula_sum 'Co8 Ag8 Se8 O8'
_cell_length_a 5.615
_cell_length_b 15.038
_cell_length_c 6.135
_cell_angle_alpha 90.00
_cell_angle_beta 90.00
_cell_angle_gamma 90.00
_symmetry_space_group_name_H-M 'P b c a'
_symmetry_Int_Tables_number 61
loop_
_symmetry_equiv_pos_as_xyz
'x,y,z'
'-x,-y,-z'
'-x+1/2,-y,z+1/2'
'x+1/2,y,-z+1/2'
'x+1/2,-y+1/2,-z'
'-x+1/2,y+1/2,z'
'-x,y+1/2,-z+1/2'
'x,-y+1/2,z+1/2'
loop_
_atom_site_label
_atom_site_fract_x
_atom_site_fract_y
_atom_site_fract_z
Co1 0.062 0.223 0.117
Ag1 0.222 0.589 0.656
Se1 0.010 0.069 0.263
O1 0.250 0.220 0.847

Model z:
# CoAgSeO (GGA+U, relaxed)
# - crystal system = orthorhombic
data_CoAgSeO
_chemical_formula_sum 'Co2 Ag2 Se2 O2'
_cell_length_a 3.793
_cell_length_b 6.971
_cell_length_c 5.507
_cell_angle_alpha 90.00
_cell_angle_beta 90.00
_cell_angle_gamma 90.00
_symmetry_space_group_name_H-M 'P m c 21'
_symmetry_Int_Tables_number 26
loop_
_symmetry_equiv_pos_as_xyz
'x,y,z'
'-x,-y,z+1/2'
'-x,y,z'
'x,-y,z+1/2'
loop_
_atom_site_label
_atom_site_fract_x
_atom_site_fract_y
_atom_site_fract_z
Co1 0.000 0.128 0.000
Ag1 0.500 0.297 0.597
Se1 0.500 0.329 0.116
O1 0.000 0.109 0.655

model y ends up most stable, edging out the next structure by 5.4 kJ/mol of atoms.

Model w:
# CoAgSeO (GGA+U, relaxed)
# - crystal system = orthorhombic
data_CoAgSeO
_chemical_formula_sum 'Co4 Ag4 Se4 O4'
_cell_length_a 5.789
_cell_length_b 6.929
_cell_length_c 7.537
_cell_angle_alpha 90.00
_cell_angle_beta 90.00
_cell_angle_gamma 90.00
_symmetry_space_group_name_H-M 'P 21 21 21'
_symmetry_Int_Tables_number 19
loop_
_symmetry_equiv_pos_as_xyz
'x,y,z'
'-x+1/2,-y,z+1/2'
'x+1/2,-y+1/2,-z'
'-x,y+1/2,-z+1/2'
loop_
_atom_site_label
_atom_site_fract_x
_atom_site_fract_y
_atom_site_fract_z
Co1 0.152 0.222 0.099
Ag1 0.199 0.382 0.678
Se1 0.013 0.394 0.368
O1 0.031 0.798 0.590

Model x:
# CoAgSeO (GGA+U, relaxed)
# - crystal system = orthorhombic
data_CoAgSeO
_chemical_formula_sum 'Co4 Ag4 Se4 O4'
_cell_length_a 5.669
_cell_length_b 3.717
_cell_length_c 13.012
_cell_angle_alpha 90.00
_cell_angle_beta 90.00
_cell_angle_gamma 90.00
_symmetry_space_group_name_H-M 'P n m a'
_symmetry_Int_Tables_number 62
loop_
_symmetry_equiv_pos_as_xyz
'x,y,z'
'-x,-y,-z'
'-x+1/2,-y,z+1/2'
'x+1/2,y,-z+1/2'
'x+1/2,-y+1/2,-z+1/2'
'-x+1/2,y+1/2,z+1/2'
'-x,y+1/2,-z'
'x,-y+1/2,z'
loop_
_atom_site_label
_atom_site_fract_x
_atom_site_fract_y
_atom_site_fract_z
Co1 0.156 0.250 0.189
Ag1 0.232 0.250 0.919
Se1 0.215 0.250 0.579
O1 0.178 0.750 0.811

Model y:
# CoAgSeO (GGA+U, relaxed)
# - crystal system = triclinic
data_CoAgSeO
_chemical_formula_sum 'Co4 Ag4 Se4 O4'
_cell_length_a 5.692
_cell_length_b 6.597
_cell_length_c 7.134
_cell_angle_alpha 90.20
_cell_angle_beta 102.51
_cell_angle_gamma 90.07
_symmetry_space_group_name_H-M 'P 1'
_symmetry_Int_Tables_number 1
loop_
_symmetry_equiv_pos_as_xyz
'x,y,z'
loop_
_atom_site_label
_atom_site_fract_x
_atom_site_fract_y
_atom_site_fract_z
Co1 0.000 0.000 0.000
Co2 0.046 0.501 0.030
Co3 0.502 0.705 0.006
Co4 0.548 0.204 0.037
Ag1 0.257 0.802 0.594
Ag2 0.286 0.402 0.441
Ag3 0.757 0.902 0.590
Ag4 0.786 0.305 0.445
Se1 0.139 0.153 0.725
Se2 0.404 0.050 0.307
Se3 0.637 0.553 0.727
Se4 0.905 0.653 0.306
O1 0.146 0.754 0.951
O2 0.401 0.450 0.083
O3 0.645 0.951 0.957
O4 0.902 0.255 0.078

model y ends up most stable, edging out the next structure by 3.2 kJ/mol of atoms.